# TlGeAsO6, optimized geometry, DFT GGA-PBE
data_TlGeAsO6
_chemical_formula_sum 'Tl1 Ge1 As1 O6'
_cell_length_a 4.9995
_cell_length_b 4.9995
_cell_length_c 4.8116
_cell_angle_alpha 90.00
_cell_angle_beta 90.00
_cell_angle_gamma 120.00
_symmetry_space_group_name_H-M 'P 1'
_symmetry_Int_Tables_number 1
loop_
_symmetry_equiv_pos_as_xyz
'x,y,z'
loop_
_atom_site_label
_atom_site_type_symbol
_atom_site_fract_x
_atom_site_fract_y
_atom_site_fract_z
_atom_site_occupancy
Tl1 Tl 0.0000 0.0000 0.0000 1
Ge1 Ge 0.6667 0.3333 0.5000 1
As1 As 0.3333 0.6667 0.5000 1
O1 O 0.0069 0.3775 0.7165 1
O2 O 0.0069 0.6294 0.2835 1
O3 O 0.3706 0.3775 0.2835 1
O4 O 0.3706 0.9931 0.7165 1
O5 O 0.6225 0.6294 0.7165 1
O6 O 0.6225 0.9931 0.2835 1
# Space group ... P312, No. 149
# Uncorrected formation energy ... -1.21 eV/atom



# LiSe2Cl, optimized geometry, DFT GGA-PBE
data_LiSe2Cl
_chemical_formula_sum 'Li1 Se2 Cl1'
_cell_length_a 9.1073
_cell_length_b 9.1073
_cell_length_c 3.6446
_cell_angle_alpha 101.38
_cell_angle_beta 101.38
_cell_angle_gamma 147.15
_symmetry_space_group_name_H-M 'P 1'
_symmetry_Int_Tables_number 1
loop_
_symmetry_equiv_pos_as_xyz
'x,y,z'
loop_
_atom_site_label
_atom_site_type_symbol
_atom_site_fract_x
_atom_site_fract_y
_atom_site_fract_z
_atom_site_occupancy
Li1 Li 0.0000 0.0000 0.0000 1
Se1 Se 0.0000 0.5000 0.5000 1
Se2 Se 0.5000 0.0000 0.5000 1
Cl1 Cl 0.5000 0.5000 0.0000 1
# Polymorph energy (0 for the lowest one) ... 5.17 kJ per mole of atoms
# Space group ... C2/m, No. 12
# Uncorrected formation energy ... -0.72 eV/atom



# Ba2ZrIn, optimized geometry, DFT GGA-PBE
data_Ba2ZrIn
_chemical_formula_sum 'Ba2 Zr1 In1'
_cell_length_a 6.4268
_cell_length_b 6.4268
_cell_length_c 6.1534
_cell_angle_alpha 99.38
_cell_angle_beta 99.38
_cell_angle_gamma 33.22
_symmetry_space_group_name_H-M 'P 1'
_symmetry_Int_Tables_number 1
loop_
_symmetry_equiv_pos_as_xyz
'x,y,z'
loop_
_atom_site_label
_atom_site_type_symbol
_atom_site_fract_x
_atom_site_fract_y
_atom_site_fract_z
_atom_site_occupancy
Ba1 Ba 0.2362 0.2362 0.2420 1
Ba2 Ba 0.7638 0.7638 0.7580 1
Zr1 Zr 0.0000 0.0000 0.5000 1
In1 In 0.5000 0.5000 0.0000 1
# ΔH_f (0 K) ... 0.395 eV per atom
# Space group ... C2/m, No. 12



# TaV2CrH, optimized geometry, DFT GGA-PBE
data_TaV2CrH
_chemical_formula_sum 'Ta1 V2 Cr1 H1'
_cell_length_a 3.6319
_cell_length_b 3.6319
_cell_length_c 4.5273
_cell_angle_alpha 90.00
_cell_angle_beta 90.00
_cell_angle_gamma 90.00
_symmetry_space_group_name_H-M 'P 1'
_symmetry_Int_Tables_number 1
loop_
_symmetry_equiv_pos_as_xyz
'x,y,z'
loop_
_atom_site_label
_atom_site_type_symbol
_atom_site_fract_x
_atom_site_fract_y
_atom_site_fract_z
_atom_site_occupancy
Ta1 Ta 0.0000 0.0000 0.0000 1
V1 V 0.0000 0.5000 0.5000 1
V2 V 0.5000 0.0000 0.5000 1
Cr1 Cr 0.5000 0.5000 0.0000 1
H1 H 0.5000 0.5000 0.5000 1
# Space group ... P4/mmm, No. 123



# RbBaSr2Pd, optimized geometry, DFT GGA-PBE
data_RbBaSr2Pd
_chemical_formula_sum 'Rb1 Ba1 Sr2 Pd1'
_cell_length_a 6.2616
_cell_length_b 6.2616
_cell_length_c 6.4231
_cell_angle_alpha 90.00
_cell_angle_beta 90.00
_cell_angle_gamma 90.00
_symmetry_space_group_name_H-M 'P 1'
_symmetry_Int_Tables_number 1
loop_
_symmetry_equiv_pos_as_xyz
'x,y,z'
loop_
_atom_site_label
_atom_site_type_symbol
_atom_site_fract_x
_atom_site_fract_y
_atom_site_fract_z
_atom_site_occupancy
Rb1 Rb 0.0000 0.0000 0.0000 1
Ba1 Ba 0.5000 0.5000 0.0000 1
Sr1 Sr 0.0000 0.5000 0.5000 1
Sr2 Sr 0.5000 0.0000 0.5000 1
Pd1 Pd 0.5000 0.5000 0.5000 1
# Polymorph energy (0 for the lowest one) ... 0.00 kJ per mole of atoms
# ΔH_f (0 K) ... -0.223 eV per atom
# Space group ... P4/mmm, No. 123



# Ti2NbIr, optimized geometry, DFT GGA-PBE
data_Ti2NbIr
_chemical_formula_sum 'Ti4 Nb2 Ir2'
_cell_length_a 5.7615
_cell_length_b 5.7615
_cell_length_c 5.7615
_cell_angle_alpha 103.06
_cell_angle_beta 103.06
_cell_angle_gamma 123.24
_symmetry_space_group_name_H-M 'P 1'
_symmetry_Int_Tables_number 1
loop_
_symmetry_equiv_pos_as_xyz
'x,y,z'
loop_
_atom_site_label
_atom_site_type_symbol
_atom_site_fract_x
_atom_site_fract_y
_atom_site_fract_z
_atom_site_occupancy
Ti1 Ti 0.0963 0.1250 0.4713 1
Ti2 Ti 0.3750 0.9037 0.0287 1
Ti3 Ti 0.6537 0.6250 0.5287 1
Ti4 Ti 0.8750 0.3463 0.9713 1
Nb1 Nb 0.2500 0.7500 0.5000 1
Nb2 Nb 0.5000 0.5000 0.0000 1
Ir1 Ir 0.0000 0.0000 0.0000 1
Ir2 Ir 0.7500 0.2500 0.5000 1
# ΔH_f (0 K) ... -0.019 eV per atom
# Space group ... I-42d, No. 122



# KMnCl, optimized geometry, DFT GGA-PBE
data_KMnCl
_chemical_formula_sum 'K1 Mn1 Cl1'
_cell_length_a 3.8095
_cell_length_b 3.8095
_cell_length_c 6.9370
_cell_angle_alpha 90.00
_cell_angle_beta 90.00
_cell_angle_gamma 120.00
_symmetry_space_group_name_H-M 'P 1'
_symmetry_Int_Tables_number 1
loop_
_symmetry_equiv_pos_as_xyz
'x,y,z'
loop_
_atom_site_label
_atom_site_type_symbol
_atom_site_fract_x
_atom_site_fract_y
_atom_site_fract_z
_atom_site_occupancy
K1 K 0.0000 0.0000 0.0000 1
Mn1 Mn 0.6667 0.3333 0.4232 1
Cl1 Cl 0.3333 0.6667 0.6863 1
# Polymorph energy (0 for the lowest one) ... 0.00 kJ per mole of atoms
# Space group ... P3m1, No. 156
# Uncorrected formation energy ... -0.17 eV/atom



| no. | total DFT energy (no corrections) (eV per atom) | magnetic moment (μB per atom) | DOS at the Fermi energy (states/eV/f.u.) |
| --- | --- | --- | --- |
| 1 | -5.8106 | 0.00 | 1.2 |
| 2 | -3.3977 | 0.00 | 0.8 |
| 3 | -3.3885 | 0.00 | 4.8 |
| 4 | -8.5364 | 0.00 | 4.3 |
| 5 | -2.5120 | 0.00 | 4.2 |
| 6 | -8.6992 | 0.00 | 4.3 |
| 7 | -4.2057 | 1.65 | 1.9 |